No. 1
TlBi2WAu (SCAN, single point on PBEsol structure); energy relative to the elements = 1310 meV per atom; crystal system = tetragonal; space-group type = P4/mmm, No. 123; volume = 154.46 Å³/f.u.
1.0
5.1740 0.0000 0.0000
0.0000 5.4637 0.0000
0.0000 0.0000 5.4637
Tl W Bi Au
1 1 2 1
direct
0.5000 0.5000 0.5000
0.5000 0.0000 0.0000
0.0000 0.5000 0.0000
0.0000 0.0000 0.5000
0.0000 0.0000 0.0000

=====

No. 2
Bi3WAu (SCAN, single point on PBEsol structure); energy relative to the elements = 910 meV per atom; crystal system = cubic; space-group type = Pm-3m, No. 221; volume = 147.95 Å³/f.u.
1.0
5.2890 0.0000 0.0000
0.0000 5.2890 0.0000
0.0000 0.0000 5.2890
W Au Bi
1 1 3
direct
0.0000 0.0000 0.0000
0.5000 0.5000 0.5000
0.0000 0.5000 0.0000
0.0000 0.0000 0.5000
0.5000 0.0000 0.0000

=====

No. 3
YBi2Au (SCAN, single point on PBEsol structure); energy relative to the elements = -419 meV per atom; crystal system = tetragonal; space-group type = I-42d, No. 122; volume = 108.18 Å³/f.u.
1.0
-2.3549 -5.8904 -1.0018
0.7639 -4.6076 4.7104
-6.2164 -1.3372 1.8892
Au Bi Y
2 4 2
direct
0.0000 0.0000 0.0000
0.7500 0.5000 0.5000
0.6643 0.9607 0.4607
0.8750 0.4607 0.0393
0.3750 0.5393 0.9607
0.0857 0.0393 0.5393
0.5000 0.0000 0.0000
0.2500 0.5000 0.5000

=====

No. 4
YBi3Au (SCAN, single point on PBEsol structure); energy relative to the elements = 664 meV per atom; crystal system = cubic; space-group type = Pm-3m, No. 221; volume = 186.28 Å³/f.u.
1.0
5.7111 0.0000 0.0000
0.0000 5.7111 0.0000
0.0000 0.0000 5.7111
Bi Au Y
3 1 1
direct
0.5000 0.0000 0.0000
0.0000 0.0000 0.5000
0.0000 0.5000 0.0000
0.5000 0.5000 0.5000
0.0000 0.0000 0.0000

=====

No. 5
YBi2Au2 (SCAN, single point on PBEsol structure); energy relative to the elements = -244 meV per atom; crystal system = tetragonal; space-group type = I4/mmm, No. 139; volume = 123.37 Å³/f.u.
1.0
4.0016 0.0000 0.0000
0.0000 4.0016 0.0000
-2.0008 -2.0008 7.7043
Bi Au Y
2 2 1
direct
0.3942 0.3942 0.7883
0.6058 0.6058 0.2117
0.2500 0.7500 0.5000
0.7500 0.2500 0.5000
0.0000 0.0000 0.0000

=====

No. 6
Zn3BiAu (SCAN, single point on PBEsol structure); energy relative to the elements = 790 meV per atom; crystal system = cubic; space-group type = Pm-3m, No. 221; volume = 148.06 Å³/f.u.
1.0
-1.7181 -4.6093 1.9467
4.2387 -2.4345 -2.0234
2.6588 0.9026 4.4837
Zn Au Bi
3 1 1
direct
0.0000 0.0000 0.5000
0.0000 0.5000 0.0000
0.5000 0.0000 0.0000
0.5000 0.5000 0.5000
0.0000 0.0000 0.0000